Material: NpZn17In
Method: DFT, PBE
State: relaxed

Results
E_tot = -1.968 eV/atom
Energy relative to the elements = 0.00 eV/atom
Density = 7761 kg/m3
Magnetic moment = 0.2300 μB/atom

Geometry as CIF:
```
data_NpZn17In
_chemical_formula_sum 'Np3 Zn51 In3'
_symmetry_space_group_name_H-M 'R 3 m'
_symmetry_Int_Tables_number 160
_symmetry_space_group_name_Hall 'R 3 -2"'
_cell_length_a 8.9955
_cell_length_b 8.9955
_cell_length_c 13.4076
_cell_angle_alpha 90.00
_cell_angle_beta 90.00
_cell_angle_gamma 120.00
loop_
_atom_site_label
_atom_site_fract_x
_atom_site_fract_y
_atom_site_fract_z
Np1 0.0000 0.0000 0.0000
Zn1 0.0000 0.0000 0.2389
Zn2 0.0000 0.0000 0.4401
Zn3 0.0002 0.5001 0.1895
Zn4 0.0052 0.3050 0.3360
Zn5 0.0053 0.5026 0.4928
Zn6 0.0112 0.5056 0.8302
In1 0.0000 0.0000 0.7155
```